The following is a DFT calculation (PBE-GGA) of crystalline PuMg2In5 at its relaxed geometry.

Cell: 9.2849 9.2823 4.7483 Å, 75.21 75.15 29.63°
Atoms (fractional coordinates):
Pu 0.0000 0.0000 0.0000
Mg 0.2441 0.2441 0.7559
Mg 0.7559 0.7559 0.2441
In 0.1319 0.1319 0.3681
In 0.3681 0.3681 0.1319
In 0.5000 0.5000 0.5000
In 0.6319 0.6319 0.8681
In 0.8681 0.8681 0.6319

Values from the calculation:
The total energy is -4.046 eV per atom. The value obtained for the total magnetic moment is 5.8 μB/cell. The space group is No. 69. The calculation puts the density at 7.375 g/cm3.